No. 1
AgSbMo after structural relaxation, computed with PBE.

Structure (POSCAR):
```
AgSbMo
1.0
-2.404 3.085 2.318
-4.312 -0.871 1.145
-1.087 -0.764 4.347
Sb Ag Mo
1 1 1
direct
0.000 0.000 0.000
0.500 0.500 0.500
0.750 0.750 0.750
```

Values from the calculation:
Final energy, eV/atom: -5.372
M_tot, Bohr magnetons per cell: 1.4
Formation energy (no corrections), eV/atom: 0.5627
SG: No. 216
V, Å³ per atom: 22.141

***

No. 2
CeNi9B2 after structural relaxation, computed with PBE.

Structure (POSCAR):
```
CeNi9B2
1.0
-1.129 0.753 -3.086
-3.980 -5.609 0.087
-2.440 5.985 2.354
Ni B Ce
9 2 1
direct
0.500 0.788 0.576
0.500 0.424 0.212
0.500 0.212 0.788
0.000 0.500 0.500
0.500 0.788 0.212
0.500 0.576 0.788
0.000 0.000 0.500
0.000 0.500 0.000
0.500 0.212 0.424
0.000 0.333 0.667
0.000 0.667 0.333
0.000 0.000 0.000
```

Values from the calculation:
Energy of formation from the pure elements, eV per atom: -0.248
Final energy, eV/atom: -6.191
M_tot, Bohr magnetons per cell: 0.0
SG: No. 191
V, Å³ per atom: 11.510

***

No. 3
TiCdIrO6 after structural relaxation, computed with PBE.

Structure (POSCAR):
```
TiCdIrO6
1.0
-3.882 -0.202 3.424
1.110 -4.143 -2.904
6.165 -3.121 6.808
O Cd Ir Ti
12 2 2 2
direct
0.632 0.635 0.140
0.635 0.632 0.640
0.365 0.997 0.140
0.997 0.365 0.640
0.003 0.635 0.360
0.368 0.003 0.640
0.368 0.365 0.860
0.632 0.997 0.360
0.635 0.003 0.860
0.003 0.368 0.140
0.365 0.368 0.360
0.997 0.632 0.860
0.000 0.000 0.000
0.000 0.000 0.500
0.667 0.333 0.750
0.333 0.667 0.250
0.333 0.667 0.750
0.667 0.333 0.250
```

Values from the calculation:
Final energy, eV/atom: -6.737
M_tot, Bohr magnetons per cell: 4.2
Formation energy (no corrections), eV/atom: -1.4677
SG: No. 163
V, Å³ per atom: 12.525